No. 1
KAsSe3: optimized geometry, PBE-GGA.

```
KAsSe3
1.0
5.1922 0.0000 0.0000
0.0000 5.1922 0.0000
0.0000 0.0000 5.1922
Se K As
3 1 1
direct
0.0000 0.0000 0.5000
0.5000 0.0000 0.0000
0.0000 0.5000 0.0000
0.5000 0.5000 0.5000
0.0000 0.0000 0.0000
```

Computed properties:
E_form (uncorrected)	-0.179	eV/atom
volume	139.98	Å³ per cell

=====

No. 2
Zr3TiCl: optimized geometry, PBE-GGA.

```
Zr3TiCl
1.0
-1.0086 2.8198 3.7419
-0.6137 -3.8741 2.7540
4.6450 0.1005 1.1764
Zr Ti Cl
3 1 1
direct
0.5000 0.0000 0.0000
0.0000 0.5000 0.0000
0.0000 0.0000 0.5000
0.5000 0.5000 0.5000
0.0000 0.0000 0.0000
```

Computed properties:
E_form (uncorrected)	0.029	eV/atom
energy relative to the lowest polymorph listed for this composition	0.000	eV/atom
volume	110.09	Å³ per cell

=====

Q: Look up the volume of the second one.
A: 110.09 Å³ per cell

=====

Q: Which formula does entry 2 have?
A: Zr3TiCl

=====

Q: E_form (uncorrected) of number 2 (Zr3TiCl)?
A: 0.029 eV/atom